(1)
Below is a relaxed PrNd7Dy4 crystal, with properties calculated at the PBE level.

The structure in POSCAR format:
```
PrNd7Dy4
1.0
6.5132 -1.8888 2.7986
0.7280 5.8863 2.2733
2.8400 -2.3367 11.0453
Nd Dy Pr
7 4 1
Cartesian
5.4468 -0.7259 6.0637 Nd
5.2198 1.5325 3.2407 Nd
4.6344 2.3867 10.0535 Nd
2.6352 -0.0624 8.2069 Nd
3.2566 -0.9444 1.3993 Nd
7.4460 1.7233 7.9103 Nd
4.8614 0.1283 12.8765 Nd
2.1857 0.1962 4.6622 Dy
5.9243 -1.0316 9.6326 Dy
4.1569 2.6924 6.4846 Dy
7.8955 1.4647 11.4550 Dy
0.0000 0.0000 0.0000 Pr
```

- Calculated formation energy: 0.0032 eV per atom
- Total DFT energy (no corrections): -56.5 eV/cell

(2)
Below is a relaxed PuSc4Al crystal, with properties calculated at the PBE level.

The structure in POSCAR format:
```
PuSc4Al
1.0
-7.7458 0.1664 -1.1541
4.3880 -0.9880 6.4130
1.6673 7.4992 -1.5294
Sc Al Pu
8 2 2
Cartesian
1.3837 5.2934 1.7631 Sc
3.5781 4.5642 4.9331 Sc
-3.1211 1.3727 2.0398 Sc
-0.2453 4.8630 4.3569 Sc
0.7514 1.5247 2.6533 Sc
2.9533 0.8292 5.7691 Sc
-2.4390 5.1711 1.1216 Sc
-5.3079 2.0862 -1.1921 Sc
-0.8325 -0.2037 1.3039 Al
-4.7112 3.4237 1.2768 Al
-2.4887 -0.6089 3.8977 Pu
1.3784 2.8521 5.0248 Pu
```

- Calculated formation energy: 0.4879 eV per atom
- Total DFT energy (no corrections): -80.9 eV/cell

(3)
Below is a relaxed Ce3Pm4SmSe8 crystal, with properties calculated at the PBE level.

The structure in POSCAR format:
```
Ce3Pm4SmSe8
1.0
-5.8709 2.8647 -5.2603
-5.9729 -3.4455 4.7898
5.5446 5.3039 3.3866
Se Pm Sm Ce
8 4 1 3
Cartesian
-0.3594 6.5904 0.6374 Se
2.5845 5.1539 3.2751 Se
-0.1854 2.5056 1.5715 Se
-5.9397 -1.8673 2.2788 Se
-6.1137 2.2175 1.3447 Se
-8.8836 -0.4308 -0.3589 Se
-3.1237 3.9466 -1.0507 Se
-3.1754 0.7765 3.9669 Se
-2.9354 1.4324 -2.6301 Pm
-0.1631 4.0843 -0.9368 Pm
0.0000 0.0000 0.0000 Pm
2.7723 2.6519 1.6933 Pm
-2.9864 -1.7227 2.3949 Sm
-5.9219 -0.2904 -0.2352 Ce
-0.2141 0.9292 4.0882 Ce
-3.1496 2.3616 1.4581 Ce
```

- Total DFT energy (no corrections): -98.7 eV/cell
- Formation energy (no corrections): -1.834 eV/atom